VASP calculation (GGA-PBE) on crystalline Pr10YTm4 at its relaxed geometry.

For the theoretical density, the calculation gives 6.52 g/cm³. As for the total magnetization: 0.0 μB per cell. The value obtained for the total energy is -4.377 eV per atom.

The space group is I4/m (No. 87) and the conventional cell measures 10.098, 10.098 and 10.854 Å, with angles of 90.00, 90.00 and 90.00 degrees. The inequivalent atoms are Pr at (0.000, 0.500, 0.250), Pr at (0.120, 0.772, 0.166), Y at (0.000, 0.000, 0.000) and Tm at (0.054, 0.724, 0.500).